Entry 1:
First-principles (GGA-PBEsol) data for a relaxed MgZr2Sc crystal, as listed in Alexandria via LeMat-Bulk.

POSCAR file:
```
MgZr2Sc
1.0
-2.213 2.213 4.464
2.213 -2.213 4.464
2.213 2.213 -4.464
Mg Zr Sc
1 2 1
direct
0.000 0.000 0.000
0.250 0.750 0.500
0.500 0.500 0.000
0.750 0.250 0.500
```

Results
The calculation puts the density of states at the Fermi level at 5.059 states/eV/cell. The energy is -6.57 eV per atom. The calculation puts the size of the total moment at 0.00 μB per cell. Its calculated volume is 21.87 Å³/atom.


Entry 2:
First-principles (GGA-PBEsol) data for a relaxed MgZr2Sc crystal, as listed in Alexandria via LeMat-Bulk.

POSCAR file:
```
MgZr2Sc
1.0
1.583 0.914 10.415
-1.583 0.914 10.415
0.000 -1.828 10.415
Mg Zr Sc
1 2 1
direct
0.000 0.000 0.000
0.248 0.248 0.248
0.500 0.500 0.500
0.753 0.753 0.753
```

Results
The calculation puts the density of states at the Fermi level at 5.529 states/eV/cell. The energy is -6.59 eV per atom. The calculation puts the size of the total moment at 0.00 μB per cell. Its calculated volume is 22.61 Å³/atom.


| no. | ΔE_f (eV per atom) |
| --- | --- |
| 1 | 0.051 |
| 2 | 0.031 |